Record 1
## ZnCoSb (meta-GGA SCAN)

Data for a PBEsol-optimized structure of ZnCoSb.

- ΔE_f (raw) (meV per atom) = 286.2
- space-group type = I4mm, No. 107
- raw total energy (Ry per atom) = -1.6469

Cell: 6.2340 6.2340 6.2340 Å, 152.61 152.61 39.12°
Closest atoms and distances in Å follow each position.
Fractional coordinates of all 3 atoms:
Zn (0.0000, 0.0000, 0.0000)  4 Co 2.51
Co (0.3808, 0.3808, 0.0000)  4 Zn 2.51, 4 Sb 2.63
Sb (0.7446, 0.7446, 0.0000)  4 Co 2.63



Record 2
## Be2FeRh (meta-GGA SCAN)

Data for a PBEsol-optimized structure of Be2FeRh.

- E_form (eV/atom) = -0.36
- space-group type = Imm2, No. 44
- raw total energy (Ry per atom) = -1.1400

Cell: 4.5469 4.5469 4.5469 Å, 145.25 131.06 61.41°
Closest atoms and distances in Å follow each position.
Fractional coordinates of all 4 atoms:
Be (0.0000, 0.0000, 0.0000)  2 Be 2.25, 4 Rh 2.33, 2 Fe 2.37
Be (0.7702, 0.2702, 0.5000)  2 Be 2.25, 4 Fe 2.33, 2 Rh 2.39
Fe (0.2485, 0.7485, 0.5000)  6 Be 2.33-2.37, 4 Rh 2.51-2.60
Rh (0.5184, 0.5184, 0.0000)  6 Be 2.33-2.39, 4 Fe 2.51-2.60



Record 3
## MgSi (meta-GGA SCAN)

Data for a PBEsol-optimized structure of MgSi.

- ΔE_f (raw) (meV per atom) = 172.5
- space-group type = Cmcm, No. 63
- raw total energy (Ry per atom) = -0.5382

Cell: 5.5634 5.5634 4.4113 Å, 90.00 90.00 149.71°
Closest atoms and distances in Å follow each position.
Fractional coordinates of all 4 atoms:
Mg (0.1661, 0.8339, 0.7500)  7 Si 2.84-2.92, 2 Mg 2.91
Mg (0.8339, 0.1661, 0.2500)  7 Si 2.84-2.92, 2 Mg 2.91
Si (0.4302, 0.5698, 0.7500)  4 Si 2.67-2.91, 7 Mg 2.84-2.92
Si (0.5698, 0.4302, 0.2500)  4 Si 2.67-2.91, 7 Mg 2.84-2.92



Record 4
## SrPr2O4 (meta-GGA SCAN)

Data for a PBEsol-optimized structure of SrPr2O4.

- ΔE_f (raw) (meV per atom) = -3419.2
- space-group type = Pnma, No. 62
- raw total energy (Ry per atom) = -1.6567

Cell: 10.0072 3.6109 12.2464 Å, 90.00 90.00 90.00°
Closest atoms and distances in Å follow each position.
Fractional coordinates of all 28 atoms:
Sr (0.2375, 0.2500, 0.1493)  7 O 2.61-2.75
Sr (0.2625, 0.7500, 0.6493)  7 O 2.61-2.75
Sr (0.7375, 0.2500, 0.3507)  7 O 2.61-2.75
Sr (0.7625, 0.7500, 0.8507)  7 O 2.61-2.75
Pr (0.0597, 0.7500, 0.3808)  6 O 2.28-2.54
Pr (0.1051, 0.7500, 0.8954)  6 O 2.38-2.46
Pr (0.3949, 0.2500, 0.3954)  6 O 2.38-2.46
Pr (0.4403, 0.2500, 0.8808)  6 O 2.28-2.54
Pr (0.5597, 0.7500, 0.1192)  6 O 2.28-2.54
Pr (0.6051, 0.7500, 0.6046)  6 O 2.38-2.46
Pr (0.8949, 0.2500, 0.1046)  6 O 2.38-2.46
Pr (0.9403, 0.2500, 0.6192)  6 O 2.28-2.54
O (0.0142, 0.7500, 0.7151)  3 Pr 2.28-2.39
O (0.0598, 0.7500, 0.0857)  3 Pr 2.38-2.46, 2 Sr 2.65
O (0.1495, 0.2500, 0.5069)  3 Pr 2.50-2.54, 2 Sr 2.75
O (0.2285, 0.2500, 0.8066)  3 Pr 2.31-2.44
O (0.2715, 0.7500, 0.3066)  3 Pr 2.31-2.44
O (0.3505, 0.7500, 0.0069)  3 Pr 2.50-2.54, 2 Sr 2.75
O (0.4402, 0.2500, 0.5857)  3 Pr 2.38-2.46, 2 Sr 2.65
O (0.4858, 0.2500, 0.2151)  3 Pr 2.28-2.39
O (0.5142, 0.7500, 0.7849)  3 Pr 2.28-2.39
O (0.5598, 0.7500, 0.4143)  3 Pr 2.38-2.46, 2 Sr 2.65
O (0.6495, 0.2500, 0.9931)  3 Pr 2.50-2.54, 2 Sr 2.75
O (0.7285, 0.2500, 0.6934)  3 Pr 2.31-2.44
O (0.7715, 0.7500, 0.1934)  3 Pr 2.31-2.44
O (0.8505, 0.7500, 0.4931)  3 Pr 2.50-2.54, 2 Sr 2.75
O (0.9402, 0.2500, 0.9143)  3 Pr 2.38-2.46, 2 Sr 2.65
O (0.9858, 0.2500, 0.2849)  3 Pr 2.28-2.39



Record 5
## Be2RuPb (meta-GGA SCAN)

Data for a PBEsol-optimized structure of Be2RuPb.

- relative energy among the computed polymorphs (kcal/mol of atoms) = 0.000
- E_form (eV/atom) = 0.28
- space-group type = Imm2, No. 44
- raw total energy (Ry per atom) = -2.1721

Cell: 5.0528 5.0528 5.0528 Å, 139.02 138.03 60.11°
Closest atoms and distances in Å follow each position.
Fractional coordinates of all 4 atoms:
Be (0.0000, 0.0000, 0.0000)  2 Be 2.24
Be (0.8425, 0.3425, 0.5000)  2 Be 2.24, 2 Ru 2.26
Ru (0.4963, 0.4963, 0.0000)  2 Be 2.26
Pb (0.2457, 0.7457, 0.5000)  8 Be 2.67-2.87, 4 Ru 2.82-2.83



Record 6
## Bi3Te4Cl5O10 (meta-GGA SCAN)

Data for a PBEsol-optimized structure of Bi3Te4Cl5O10.

- ΔE_f (raw) (meV per atom) = -1116.4
- space-group type = C2/m, No. 12
- raw total energy (Ry per atom) = -1.7089

Cell: 7.8650 7.8650 13.1407 Å, 96.46 96.46 29.89°
Closest atoms and distances in Å follow each position.
Fractional coordinates of all 22 atoms:
Bi (0.0000, 0.0000, 0.0000)  4 O 2.41, 2 Cl 2.68
Bi (0.2176, 0.2176, 0.8098)  4 O 2.22-2.44
Bi (0.7824, 0.7824, 0.1902)  4 O 2.22-2.44
Te (0.1600, 0.1600, 0.5051)  2 O 1.85-2.03
Te (0.4742, 0.4742, 0.2296)  2 O 1.88-1.93
Te (0.5258, 0.5258, 0.7704)  2 O 1.88-1.93
Te (0.8400, 0.8400, 0.4949)  2 O 1.85-2.03
Cl (0.1555, 0.1555, 0.2771)  1 Te 2.99, 2 Bi 3.11, 2 O 3.23-3.29, 1 Cl 3.34
Cl (0.1773, 0.1773, 0.0269)  2 Bi 2.68-2.99
Cl (0.5000, 0.5000, 0.5000)  2 O 3.15, 4 Te 3.16
Cl (0.8227, 0.8227, 0.9731)  2 Bi 2.68-2.99
Cl (0.8445, 0.8445, 0.7229)  1 Te 2.99, 2 Bi 3.11, 2 O 3.23-3.29, 1 Cl 3.34
O (0.0571, 0.0571, 0.8071)  2 Te 2.13
O (0.1609, 0.1609, 0.6461)  1 Te 1.85
O (0.2930, 0.2930, 0.5009)  3 Te 2.03-2.15
O (0.3473, 0.3473, 0.1937)  1 Te 1.93
O (0.4852, 0.4852, 0.9004)  1 Te 1.88
O (0.5148, 0.5148, 0.0996)  1 Te 1.88
O (0.6527, 0.6527, 0.8063)  1 Te 1.93
O (0.7070, 0.7070, 0.4991)  3 Te 2.03-2.15
O (0.8391, 0.8391, 0.3539)  1 Te 1.85
O (0.9429, 0.9429, 0.1929)  2 Te 2.13



Record 7
## IrPdI2N (meta-GGA SCAN)

Data for a PBEsol-optimized structure of IrPdI2N.

- relative energy among the computed polymorphs (kcal/mol of atoms) = 0.000
- ΔE_f (raw) (meV per atom) = 586.4
- space-group type = P4/mmm, No. 123
- raw total energy (Ry per atom) = -2.7006

Cell: 5.4642 5.4642 3.6469 Å, 90.00 90.00 90.00°
Closest atoms and distances in Å follow each position.
Fractional coordinates of all 5 atoms:
Ir (0.0000, 0.0000, 0.0000)  2 N 1.82
Pd (0.5000, 0.5000, 0.5000)  8 I 3.28, 2 Pd 3.65
I (0.0000, 0.5000, 0.0000)  2 Ir 2.73
I (0.5000, 0.0000, 0.0000)  2 Ir 2.73
N (0.0000, 0.0000, 0.5000)  2 Ir 1.82



Record 8
## LiInHg2 (meta-GGA SCAN)

Data for a PBEsol-optimized structure of LiInHg2.

- E_form (eV/atom) = -0.24
- space-group type = P4/mmm, No. 123
- raw total energy (Ry per atom) = -3.1801

Cell: 3.4894 3.4894 6.8477 Å, 90.00 90.00 90.00°
Closest atoms and distances in Å follow each position.
Fractional coordinates of all 4 atoms:
Li (0.0000, 0.0000, 0.0000)  8 Hg 2.89
In (0.0000, 0.0000, 0.5000)  8 Hg 3.13, 2 Li 3.42, 4 In 3.49
Hg (0.5000, 0.5000, 0.2198)  4 Li 2.89, 1 Hg 3.01, 4 In 3.13
Hg (0.5000, 0.5000, 0.7802)  4 Li 2.89, 1 Hg 3.01, 4 In 3.13